A geometry-optimized Yb2InGe2 structure, computed with PBE.

**Spin magnetization**: 0.7 μB/cell
**Calculated density**: 8.6 Mg/m³
**Electronic total energy**: -3.626 eV per atom

Cell lengths 7.362, 7.362, 4.321 Å; angles 90.00, 90.00, 90.00 degrees
Sites, in units of the cell vectors:
Yb (0.175, 0.325, 0.000)
Yb (0.325, 0.825, 0.000)
Yb (0.675, 0.175, 0.000)
Yb (0.825, 0.675, 0.000)
In (0.000, 0.000, 0.500)
In (0.500, 0.500, 0.500)
Ge (0.122, 0.622, 0.500)
Ge (0.378, 0.122, 0.500)
Ge (0.622, 0.878, 0.500)
Ge (0.878, 0.378, 0.500)